Below is a geometry-optimized TaSn3F structure, with properties calculated at the PBE-GGA level.

a = 4.761 Å, b = 4.761 Å, c = 4.761 Å
α = 90.00°, β = 90.00°, γ = 90.00°
Sites, in units of the cell vectors:
F: 0.000 0.000 0.000
Ta: 0.500 0.500 0.500
Sn: 0.500 0.000 0.000
Sn: 0.000 0.000 0.500
Sn: 0.000 0.500 0.000

Results
Distance to the lowest polymorph of the same formula: 66 meV per atom
N(E_F): 4.4 states/eV/f.u.
SG: Pm-3m, No. 221
ΔE_f (raw): 100.0 meV/atom
Spin magnetization: 0.0 μB/cell


Below is a geometry-optimized SrZrGe3 structure, with properties calculated at the PBE-GGA level.

a = 5.218 Å, b = 5.218 Å, c = 5.218 Å
α = 90.00°, β = 90.00°, γ = 90.00°
Sites, in units of the cell vectors:
Ge: 0.000 0.000 0.500
Ge: 0.500 0.000 0.000
Ge: 0.000 0.500 0.000
Sr: 0.500 0.500 0.500
Zr: 0.000 0.000 0.000

Results
N(E_F): 1.3 states/eV/f.u.
SG: Pm-3m, No. 221
E_form: -0.961 eV per formula unit
Spin magnetization: 0.0 μB/cell